*i*
6
Lattice="4.277 0.000 0.000 0.000 4.277 0.000 0.000 0.000 8.163" Properties=species:S:1:pos:R:3 comment="PmPuSi | Alexandria via LeMat-Bulk | PBE-GGA | optimized geometry" magnetic_moment_mub_per_cell=12.31 density_g_cm3=9.3 pbc="T T T"
Pm 1.069 1.069 1.163
Pm 3.208 3.208 7.001
Pu 1.069 3.208 4.082
Pu 3.208 1.069 4.082
Si 1.069 1.069 6.259
Si 3.208 3.208 1.904



*ii*
3
Lattice="0.000 3.487 3.487 3.487 0.000 3.487 3.487 3.487 0.000" Properties=species:S:1:pos:R:3 comment="PmPuSi | Alexandria via LeMat-Bulk | PBE-GGA | optimized geometry" magnetic_moment_mub_per_cell=6.64 density_g_cm3=8.2 pbc="T T T"
Pm 0.000 0.000 0.000
Pu 3.487 3.487 3.487
Si 5.231 5.231 5.231



Which structure is the most stable? The one labeled *i*.



*i*
6
Lattice="0.000 3.780 3.780 3.780 0.000 3.780 3.780 3.780 0.000" Properties=species:S:1:pos:R:3 comment="PmPuSi4 | Alexandria via LeMat-Bulk | PBE-GGA | optimized geometry" magnetic_moment_mub_per_cell=6.53 density_g_cm3=7.7 pbc="T T T"
Pm 0.000 0.000 0.000
Pu 1.890 1.890 1.890
Si 4.715 2.845 2.845
Si 2.845 4.715 2.845
Si 2.845 2.845 4.715
Si 4.715 4.715 4.715



*ii*
6
Lattice="4.045 0.000 0.000 0.000 4.073 0.000 0.000 0.000 7.065" Properties=species:S:1:pos:R:3 comment="PmPuSi4 | Alexandria via LeMat-Bulk | PBE-GGA | optimized geometry" magnetic_moment_mub_per_cell=5.39 density_g_cm3=7.2 pbc="T T T"
Pm 0.000 0.000 0.000
Pu 0.000 2.037 3.532
Si 2.023 0.000 2.375
Si 2.023 0.000 4.690
Si 2.023 2.037 1.194
Si 2.023 2.037 5.871



*iii*
6
Lattice="4.076 0.000 0.000 -2.038 3.530 0.000 0.000 0.000 8.034" Properties=species:S:1:pos:R:3 comment="PmPuSi4 | Alexandria via LeMat-Bulk | PBE-GGA | optimized geometry" magnetic_moment_mub_per_cell=5.45 density_g_cm3=7.2 pbc="T T T"
Pm 0.000 0.000 0.000
Pu 0.000 0.000 4.017
Si 0.000 2.353 2.109
Si 0.000 2.353 5.925
Si 2.038 1.177 2.109
Si 2.038 1.177 5.925



Which structure is the most stable? The one labeled *ii*.



*i*
4
Lattice="3.901 0.000 0.000 0.000 3.901 0.000 0.000 0.000 6.465" Properties=species:S:1:pos:R:3 comment="PmPu2Si | Alexandria via LeMat-Bulk | PBE-GGA | optimized geometry" magnetic_moment_mub_per_cell=11.44 density_g_cm3=11.2 pbc="T T T"
Pm 0.000 0.000 0.000
Pu 1.950 1.950 1.864
Pu 1.950 1.950 4.601
Si 0.000 0.000 3.233



*ii*
4
Lattice="0.000 3.645 3.645 3.645 0.000 3.645 3.645 3.645 0.000" Properties=species:S:1:pos:R:3 comment="PmPu2Si | Alexandria via LeMat-Bulk | PBE-GGA | optimized geometry" magnetic_moment_mub_per_cell=13.18 density_g_cm3=11.3 pbc="T T T"
Pm 0.000 0.000 0.000
Pu 1.822 1.822 1.822
Pu 5.467 5.467 5.467
Si 3.645 3.645 3.645



Which structure is the most stable? The one labeled *i*.



*i*
10
Lattice="5.445 0.000 0.000 0.000 3.563 0.000 -2.698 0.000 11.533" Properties=species:S:1:pos:R:3 comment="PmPu2Si2 | Alexandria via LeMat-Bulk | PBE-GGA | optimized geometry" magnetic_moment_mub_per_cell=0.02 density_g_cm3=10.2 pbc="T T T"
Pm 0.684 0.891 2.765
Pm 2.062 2.672 8.768
Pu -0.942 0.891 6.396
Pu -0.712 2.672 11.427
Pu 3.458 0.891 0.106
Pu 3.688 2.672 5.137
Si -0.611 0.891 9.177
Si 0.911 2.672 5.143
Si 1.835 0.891 6.391
Si 3.357 2.672 2.356



*ii*
10
Lattice="2.210 -6.590 0.000 2.210 6.590 0.000 0.000 0.000 8.196" Properties=species:S:1:pos:R:3 comment="PmPu2Si2 | Alexandria via LeMat-Bulk | PBE-GGA | optimized geometry" magnetic_moment_mub_per_cell=21.82 density_g_cm3=9.6 pbc="T T T"
Pm 2.210 5.524 4.098
Pm 2.210 -5.524 0.000
Pu 2.210 4.205 0.836
Pu 2.210 1.943 3.127
Pu 2.210 -1.943 7.225
Pu 2.210 -4.205 4.934
Si 2.210 2.779 6.613
Si 2.210 0.492 5.711
Si 2.210 -0.492 1.613
Si 2.210 -2.779 2.515



Which structure is the most stable? The one labeled *ii*.



*i*
4
Lattice="3.854 0.000 0.000 0.000 3.854 0.000 0.000 0.000 7.166" Properties=species:S:1:pos:R:3 comment="Pm2PuSi | Alexandria via LeMat-Bulk | PBE-GGA | optimized geometry" magnetic_moment_mub_per_cell=6.61 density_g_cm3=8.8 pbc="T T T"
Pm 0.000 0.000 1.513
Pm 0.000 0.000 5.654
Pu 1.927 1.927 3.583
Si 1.927 1.927 0.000



*ii*
4
Lattice="4.761 0.000 0.000 0.000 4.761 0.000 0.000 0.000 4.500" Properties=species:S:1:pos:R:3 comment="Pm2PuSi | Alexandria via LeMat-Bulk | PBE-GGA | optimized geometry" magnetic_moment_mub_per_cell=6.25 density_g_cm3=9.1 pbc="T T T"
Pm 0.000 2.381 0.000
Pm 2.381 0.000 0.000
Pu 0.000 0.000 2.250
Si 2.381 2.381 2.250



*iii*
4
Lattice="0.000 3.727 3.727 3.727 0.000 3.727 3.727 3.727 0.000" Properties=species:S:1:pos:R:3 comment="Pm2PuSi | Alexandria via LeMat-Bulk | PBE-GGA | optimized geometry" magnetic_moment_mub_per_cell=6.47 density_g_cm3=9.0 pbc="T T T"
Pm 1.863 1.863 1.863
Pm 5.590 5.590 5.590
Pu 0.000 0.000 0.000
Si 3.727 3.727 3.727



Which structure is the most stable? The one labeled *ii*.



*i*
9
Lattice="7.049 0.000 0.000 -3.525 6.105 0.000 0.000 0.000 3.970" Properties=species:S:1:pos:R:3 comment="PmPu2Si6 | Alexandria via LeMat-Bulk | PBE-GGA | optimized geometry" magnetic_moment_mub_per_cell=10.68 density_g_cm3=7.8 pbc="T T T"
Pm 0.000 0.000 0.000
Pu 0.000 4.070 0.000
Pu 3.525 2.035 0.000
Si -1.180 2.044 1.985
Si -2.344 4.061 1.985
Si 2.360 0.000 1.985
Si 1.180 2.044 1.985
Si 4.689 0.000 1.985
Si 2.344 4.061 1.985



*ii*
9
Lattice="-1.940 3.997 6.010 1.940 -3.997 6.010 1.940 3.997 -6.010" Properties=species:S:1:pos:R:3 comment="PmPu2Si6 | Alexandria via LeMat-Bulk | PBE-GGA | optimized geometry" magnetic_moment_mub_per_cell=10.26 density_g_cm3=7.1 pbc="T T T"
Pm 0.000 0.000 0.000
Pu 1.940 0.000 4.500
Pu 0.000 3.997 1.510
Si 1.940 1.793 -2.296
Si 1.940 2.351 0.000
Si 1.940 1.793 2.296
Si 0.000 2.205 3.714
Si 0.000 1.646 6.010
Si 0.000 2.205 8.306



Which structure is the most stable? The one labeled *i*.



*i*
6
Lattice="0.000 4.347 4.347 4.347 0.000 4.347 4.347 4.347 0.000" Properties=species:S:1:pos:R:3 comment="PmPuSn4 | Alexandria via LeMat-Bulk | PBE-GGA | optimized geometry" magnetic_moment_mub_per_cell=6.97 density_g_cm3=8.7 pbc="T T T"
Pm 0.000 0.000 0.000
Pu 6.521 6.521 6.521
Sn 3.262 3.262 3.262
Sn 5.433 5.433 3.262
Sn 5.433 3.262 5.433
Sn 3.262 5.433 5.433



*ii*
12
Lattice="6.836 0.000 0.000 0.000 8.605 0.000 -0.010 0.000 5.591" Properties=species:S:1:pos:R:3 comment="PmPuSn4 | Alexandria via LeMat-Bulk | PBE-GGA | optimized geometry" magnetic_moment_mub_per_cell=11.61 density_g_cm3=8.7 pbc="T T T"
Pm 0.000 0.000 0.000
Pm -0.005 4.303 2.795
Pu 3.418 0.000 0.000
Pu 3.413 4.303 2.795
Sn 1.711 1.451 2.997
Sn 1.716 2.852 0.202
Sn 1.718 5.754 5.390
Sn 1.723 7.154 2.595
Sn 5.103 1.451 2.996
Sn 5.108 2.851 0.201
Sn 5.109 5.753 5.389
Sn 5.115 7.155 2.594



Which structure is the most stable? The one labeled *ii*.



*i*
3
Lattice="3.562 0.000 0.000 -1.781 3.085 0.000 0.000 0.000 8.608" Properties=species:S:1:pos:R:3 comment="TbPmPu | Alexandria via LeMat-Bulk | PBE-GGA | optimized geometry" magnetic_moment_mub_per_cell=6.24 density_g_cm3=9.6 pbc="T T T"
Tb 0.000 0.000 0.000
Pm 0.000 2.056 5.667
Pu 1.781 1.028 2.807



*ii*
3
Lattice="-1.770 1.770 7.482 1.770 -1.770 7.482 1.770 1.770 -7.482" Properties=species:S:1:pos:R:3 comment="TbPmPu | Alexandria via LeMat-Bulk | PBE-GGA | optimized geometry" magnetic_moment_mub_per_cell=6.16 density_g_cm3=9.7 pbc="T T T"
Tb 0.000 0.000 0.000
Pm 0.000 0.000 10.070
Pu 0.000 0.000 5.062



Which structure is the most stable? The one labeled *ii*.